Be2HgAs | GGA-PBE | optimized geometry

Computed properties:
energy of formation from the pure elements	0.658	eV/atom
DOS at the Fermi energy	0.8425	states/eV/atom

Structure (POSCAR):
```
Be2HgAs
1.0
6.285 0.000 0.000
0.000 6.285 0.000
0.000 0.000 6.285
Be Hg As
8 4 4
Direct
0.250 0.250 0.250
0.250 0.250 0.750
0.250 0.750 0.250
0.250 0.750 0.750
0.750 0.250 0.250
0.750 0.250 0.750
0.750 0.750 0.250
0.750 0.750 0.750
0.000 0.000 0.000
0.000 0.500 0.500
0.500 0.000 0.500
0.500 0.500 0.000
0.000 0.000 0.500
0.000 0.500 0.000
0.500 0.000 0.000
0.500 0.500 0.500
```